PBE Ag2OsRh, relaxed; electronic total energy = -5.807 eV per atom; DFT formation energy = 0.26 eV/atom; calculated volume = 63.4 Å³/f.u.; distance to the lowest polymorph of the same formula = 0.0 meV/atom; space-group type = R3m; theoretical density = 13.3 g/cm3
1.0
9.450 -1.394 -0.002
9.450 1.394 -0.002
9.245 0.000 2.404
Ag Os Rh
2 1 1
direct
0.997 0.997 0.997
0.752 0.752 0.752
0.505 0.505 0.505
0.245 0.245 0.245